1.
V2BiSeBr after structural relaxation. Source: Alexandria via LeMat-Bulk, functional PBE.

```
V2BiSeBr
1.0
-1.773 2.973 3.090
0.371 -4.182 4.237
4.278 1.452 1.058
Se Bi Br V
1 1 1 2
direct
0.000 0.000 0.000 Se
0.000 0.500 0.000 Bi
0.500 0.500 0.500 Br
0.000 0.000 0.500 V
0.500 0.000 0.000 V
```

Values from the calculation:
The space-group type is P4/mmm, No. 123. The formation energy without anion corrections comes out at 884 meV per atom. The calculation puts the density of states at the Fermi level at 11.9 states/eV per cell.

=====

2.
YBiSe2Br after structural relaxation. Source: Alexandria via LeMat-Bulk, functional PBE.

```
YBiSe2Br
1.0
-1.865 5.231 0.210
-1.091 -0.606 5.415
5.055 1.753 1.215
Y Se Bi Br
1 2 1 1
direct
0.500 0.500 0.500 Y
0.000 0.500 0.000 Se
0.500 0.000 0.000 Se
0.000 0.000 0.000 Bi
0.000 0.000 0.500 Br
```

Values from the calculation:
The space-group type is P4/mmm, No. 123. The calculation puts the distance to the lowest polymorph of the same formula at 498 meV per atom. The formation energy without anion corrections comes out at -134 meV per atom. The calculation puts the density of states at the Fermi level at 4.4 states/eV per cell.

=====

3.
YBiSe2Br after structural relaxation. Source: Alexandria via LeMat-Bulk, functional PBE.

```
YBiSe2Br
1.0
-4.562 -1.349 -2.826
2.757 -4.100 -2.492
-1.433 -3.339 3.907
Y Se Bi Br
1 2 1 1
direct
0.000 0.000 0.000 Y
0.000 0.500 0.000 Se
0.500 0.000 0.000 Se
0.500 0.500 0.500 Bi
0.000 0.000 0.500 Br
```

Values from the calculation:
The space-group type is P4/mmm, No. 123. The calculation puts the distance to the lowest polymorph of the same formula at 0 meV per atom. The formation energy without anion corrections comes out at -633 meV per atom. The calculation puts the density of states at the Fermi level at 3.0 states/eV per cell.

=====

4.
SiBiBr2 after structural relaxation. Source: Alexandria via LeMat-Bulk, functional PBE.

```
SiBiBr2
1.0
2.118 0.000 12.138
-1.059 1.834 12.138
-1.059 -1.834 12.138
Si Bi Br
1 1 2
direct
0.500 0.500 0.500 Si
0.000 0.000 0.000 Bi
0.881 0.881 0.881 Br
0.119 0.119 0.119 Br
```

Values from the calculation:
The space-group type is R-3m, No. 166. The calculation puts the distance to the lowest polymorph of the same formula at 0 meV per atom. The formation energy without anion corrections comes out at 80 meV per atom. The calculation puts the density of states at the Fermi level at 2.2 states/eV per cell.

=====

5.
Si2BiBr2 after structural relaxation. Source: Alexandria via LeMat-Bulk, functional PBE.

```
Si2BiBr2
1.0
4.608 0.000 0.000
0.000 4.608 0.000
2.304 2.304 5.838
Si Bi Br
2 1 2
direct
0.398 0.398 0.205 Si
0.602 0.602 0.795 Si
0.000 0.000 0.000 Bi
0.750 0.250 0.500 Br
0.250 0.750 0.500 Br
```

Values from the calculation:
The space-group type is I4/mmm, No. 139. The formation energy without anion corrections comes out at 490 meV per atom. The calculation puts the density of states at the Fermi level at 2.8 states/eV per cell.

=====

6.
SiBi2Br after structural relaxation. Source: Alexandria via LeMat-Bulk, functional PBE.

```
SiBi2Br
1.0
-2.512 2.226 4.045
-5.197 0.753 -0.228
-3.207 -2.880 3.008
Si Bi Br
1 2 1
direct
0.000 0.000 0.000 Si
0.250 0.250 0.250 Bi
0.750 0.750 0.750 Bi
0.500 0.500 0.500 Br
```

Values from the calculation:
The space-group type is Fm-3m, No. 225. The calculation puts the distance to the lowest polymorph of the same formula at 14 meV per atom. The formation energy without anion corrections comes out at 273 meV per atom. The calculation puts the density of states at the Fermi level at 1.8 states/eV per cell.